The following is a DFT calculation (PBE) of an optimized crystal structure of RbNpIrO6.

ρ: 6.73 g/cm3
E_tot: -7.6953 eV/atom
formation energy from raw total energies: -1860 meV/atom
space-group type: Imma, No. 74

```
RbNpIrO6
1.0
-3.630 3.921 5.291
3.630 -3.921 5.291
3.630 3.921 -5.291
Rb Np Ir O
2 2 2 12
direct
0.362 0.112 0.250
0.638 0.888 0.750
0.000 0.500 0.500
0.500 0.500 0.000
0.000 0.000 0.500
0.000 0.500 0.000
0.055 0.424 0.233
0.055 0.822 0.630
0.059 0.809 0.250
0.309 0.178 0.733
0.309 0.576 0.130
0.327 0.577 0.750
0.673 0.423 0.250
0.691 0.424 0.870
0.691 0.822 0.267
0.941 0.191 0.750
0.945 0.178 0.370
0.945 0.576 0.767
```